No. 1
TaBi: optimized geometry, PBE-GGA.

Properties
- space-group type = P2_12_12_1
- uncorrected energy (eV/atom) = -7.363
- ΔH_f (0 K) (eV per formula unit) = 1.0
- size of the total moment (μB/cell) = 0.0

Cell: 5.848 9.009 7.781 Å, 90.00 90.00 90.00°
Sites, in units of the cell vectors:
Bi: 0.700 0.594 0.138
Bi: 0.759 0.164 0.056
Bi: 0.241 0.664 0.444
Bi: 0.259 0.336 0.944
Bi: 0.800 0.406 0.638
Bi: 0.300 0.094 0.362
Bi: 0.741 0.836 0.556
Bi: 0.200 0.906 0.862
Ta: 0.209 0.640 0.073
Ta: 0.528 0.120 0.730
Ta: 0.709 0.860 0.927
Ta: 0.291 0.360 0.573
Ta: 0.791 0.140 0.427
Ta: 0.972 0.880 0.230
Ta: 0.028 0.380 0.270
Ta: 0.472 0.620 0.770



No. 2
CsBi2Rh: optimized geometry, PBE-GGA.

Properties
- space-group type = R3m
- uncorrected energy (eV/atom) = -4.210
- ΔH_f (0 K) (eV per formula unit) = -0.9
- size of the total moment (μB/cell) = 0.0
- E above lowest polymorph (eV/atom) = 0.009

Cell: 4.543 4.543 8.249 Å, 74.02 74.02 60.00°
Sites, in units of the cell vectors:
Bi: 0.042 0.042 0.873
Bi: 0.289 0.289 0.133
Rh: 0.671 0.671 0.987
Cs: 0.497 0.497 0.508



No. 3
Cu2SnHgS4: optimized geometry, PBE-GGA.

Properties
- space-group type = I-42m
- uncorrected energy (eV/atom) = -3.920
- size of the total moment (μB/cell) = 0.0
- raw formation energy (eV per atom) = -0.29

Cell: 6.817 6.817 6.817 Å, 131.10 131.10 71.65°
Sites, in units of the cell vectors:
Hg: 0.000 0.000 0.000
Cu: 0.750 0.250 0.500
Cu: 0.250 0.750 0.500
S: 0.402 0.882 0.000
S: 0.882 0.402 0.000
S: 0.118 0.118 0.520
S: 0.598 0.598 0.480
Sn: 0.500 0.500 0.000



No. 4
LiDyC: optimized geometry, PBE-GGA.

Properties
- space-group type = I4/mmm
- uncorrected energy (eV/atom) = -5.177
- ΔH_f (0 K) (eV per formula unit) = 0.2
- size of the total moment (μB/cell) = 0.0
- E above lowest polymorph (eV/atom) = 0.203

Cell: 3.560 3.560 10.042 Å, 100.21 100.21 90.00°
Sites, in units of the cell vectors:
C: 0.684 0.684 0.368
C: 0.316 0.316 0.632
Dy: 0.188 0.188 0.376
Dy: 0.812 0.812 0.624
Li: 0.576 0.576 0.153
Li: 0.424 0.424 0.847